[1]
This record from Alexandria describes an optimized crystal structure of AgH6IrPb. The functional is PBE.

Summary:
Total magnetic moment = 0.00 μB/f.u.
Space group = P1, No. 1
E = -3.895 eV per atom

Cell: 4.956 5.043 5.197 Å, 81.96 61.95 62.32°
Fractional coordinates of all 9 atoms:
Ag: 0.000 0.000 0.000
H: 0.335 0.222 0.590
H: 0.435 0.218 0.965
H: 0.509 0.761 0.809
H: 0.876 0.217 0.555
H: 0.930 0.751 0.787
H: 0.940 0.761 0.331
Ir: 0.673 0.008 0.647
Pb: 0.493 0.631 0.369



[2]
This record from Alexandria describes an optimized crystal structure of AgH6IrPb2. The functional is PBE.

Summary:
Total magnetic moment = 0.00 μB/f.u.
Space group = P-3m1, No. 164
E = -3.776 eV per atom

Cell: 5.297 5.297 5.506 Å, 90.00 90.00 120.00°
Fractional coordinates of all 10 atoms:
Ag: 0.000 0.000 0.000
H: 0.151 0.301 0.684
H: 0.151 0.849 0.684
H: 0.301 0.151 0.316
H: 0.699 0.849 0.684
H: 0.849 0.151 0.316
H: 0.849 0.699 0.316
Ir: 0.000 0.000 0.500
Pb: 0.333 0.667 0.272
Pb: 0.667 0.333 0.728



[3]
This record from Alexandria describes an optimized crystal structure of AgH6IrPd2. The functional is PBE.

Summary:
Total magnetic moment = 0.00 μB/f.u.
Space group = P2_1/c, No. 14
E = -4.142 eV per atom

Cell: 4.314 4.665 9.634 Å, 90.00 116.36 90.00°
Fractional coordinates of all 20 atoms:
Ag: 0.000 0.000 0.000
Ag: 0.000 0.500 0.500
H: 0.124 0.157 0.351
H: 0.124 0.343 0.851
H: 0.360 0.689 0.120
H: 0.360 0.811 0.620
H: 0.489 0.228 0.123
H: 0.489 0.272 0.623
H: 0.511 0.728 0.377
H: 0.511 0.772 0.877
H: 0.640 0.189 0.380
H: 0.640 0.311 0.880
H: 0.876 0.657 0.149
H: 0.876 0.843 0.649
Ir: 0.500 0.000 0.500
Ir: 0.500 0.500 0.000
Pd: 0.261 0.074 0.747
Pd: 0.261 0.426 0.247
Pd: 0.739 0.574 0.753
Pd: 0.739 0.926 0.253



[4]
This record from Alexandria describes an optimized crystal structure of PmAgH6Ir. The functional is PBE.

Summary:
Total magnetic moment = 0.00 μB/f.u.
Space group = P-6m2, No. 187
E = -4.284 eV per atom

Cell: 4.826 4.826 4.360 Å, 90.00 90.00 120.00°
Fractional coordinates of all 9 atoms:
Pm: 0.000 0.000 0.000
Ag: 0.333 0.667 0.500
H: 0.521 0.042 0.222
H: 0.521 0.042 0.778
H: 0.521 0.479 0.222
H: 0.521 0.479 0.778
H: 0.958 0.479 0.222
H: 0.958 0.479 0.778
Ir: 0.667 0.333 0.500



[5]
This record from Alexandria describes an optimized crystal structure of Ag2H6IrPt. The functional is PBE.

Summary:
Total magnetic moment = 0.00 μB/f.u.
Space group = C2/m, No. 12
E = -3.942 eV per atom

Cell: 5.040 5.040 5.016 Å, 119.74 119.74 90.18°
Fractional coordinates of all 10 atoms:
Ag: 0.248 0.752 0.000
Ag: 0.752 0.248 0.000
H: 0.246 0.754 0.500
H: 0.248 0.248 0.992
H: 0.250 0.250 0.508
H: 0.750 0.750 0.492
H: 0.752 0.752 0.008
H: 0.754 0.246 0.500
Ir: 0.000 0.000 0.500
Pt: 0.500 0.500 0.500



[6]
This record from Alexandria describes an optimized crystal structure of Pu2AgH6Ir. The functional is PBE.

Summary:
Total magnetic moment = 11.57 μB/f.u.
Space group = P-3m1, No. 164
E = -6.228 eV per atom

Cell: 4.553 4.553 7.137 Å, 90.00 90.00 120.00°
Fractional coordinates of all 10 atoms:
Pu: 0.333 0.667 0.243
Pu: 0.667 0.333 0.757
Ag: 0.000 0.000 0.500
H: 0.178 0.356 0.867
H: 0.178 0.822 0.867
H: 0.356 0.178 0.133
H: 0.644 0.822 0.867
H: 0.822 0.178 0.133
H: 0.822 0.644 0.133
Ir: 0.000 0.000 0.000



Q: Which value of total magnetic moment does entry 3 give?
A: 0.00 μB/f.u.